No. 1
The following is a PBE calculation of a geometry-optimized YCr2Cu structure, from the Alexandria database.

Calculated values
Energy above the lowest structure with this stoichiometry (meV/atom): 474
N(E_F) (states/eV per cell): 4.71
Symmetry: C2/m (12)
Crystal system: monoclinic

abc: 5.398 5.398 2.977
angles: 103.55 103.55 122.70
Fractional positions:
Y 0.000 0.000 0.000
Cr 0.000 0.500 0.500
Cr 0.500 0.000 0.500
Cu 0.500 0.500 0.000

=====

No. 2
The following is a PBE calculation of a geometry-optimized Y4CrCu structure, from the Alexandria database.

Calculated values
N(E_F) (states/eV per cell): 6.39
Symmetry: F-43m (216)
Crystal system: cubic

abc: 6.219 6.219 6.219
angles: 60.00 60.00 60.00
Fractional positions:
Y 0.125 0.125 0.125
Y 0.125 0.125 0.626
Y 0.125 0.626 0.125
Y 0.626 0.125 0.125
Cr 0.750 0.750 0.750
Cu 0.500 0.500 0.500

=====

No. 3
The following is a PBE calculation of a geometry-optimized YCrCu2 structure, from the Alexandria database.

Calculated values
Energy above the lowest structure with this stoichiometry (meV/atom): 115
N(E_F) (states/eV per cell): 2.42
Symmetry: F-43m (216)
Crystal system: cubic

abc: 4.568 4.568 4.568
angles: 60.00 60.00 60.00
Fractional positions:
Y 0.000 0.000 0.000
Cr 0.250 0.250 0.250
Cu 0.500 0.500 0.500
Cu 0.750 0.750 0.750

=====

No. 4
The following is a PBE calculation of a geometry-optimized YCrCu2 structure, from the Alexandria database.

Calculated values
Energy above the lowest structure with this stoichiometry (meV/atom): 62
N(E_F) (states/eV per cell): 1.80
Symmetry: P4/mmm (123)
Crystal system: tetragonal

abc: 4.353 4.353 3.642
angles: 90.00 90.00 90.00
Fractional positions:
Y 0.000 0.000 0.000
Cr 0.500 0.500 0.000
Cu 0.000 0.500 0.500
Cu 0.500 0.000 0.500

=====

No. 5
The following is a PBE calculation of a geometry-optimized YCrCu2 structure, from the Alexandria database.

Calculated values
Energy above the lowest structure with this stoichiometry (meV/atom): 0
N(E_F) (states/eV per cell): 3.22
Symmetry: Fm-3m (225)
Crystal system: cubic

abc: 4.622 4.622 4.622
angles: 60.00 60.00 60.00
Fractional positions:
Y 0.000 0.000 0.000
Cr 0.500 0.500 0.500
Cu 0.250 0.250 0.250
Cu 0.750 0.750 0.750

=====

No. 6
The following is a PBE calculation of a geometry-optimized YCr2Cu structure, from the Alexandria database.

Calculated values
Energy above the lowest structure with this stoichiometry (meV/atom): 549
N(E_F) (states/eV per cell): 3.47
Symmetry: R-3m (166)
Crystal system: trigonal

abc: 8.931 8.931 8.931
angles: 20.38 20.38 20.38
Fractional positions:
Y 0.000 0.000 0.000
Cr 0.239 0.239 0.239
Cr 0.761 0.761 0.761
Cu 0.500 0.500 0.500

=====

No. 7
The following is a PBE calculation of a geometry-optimized Zn2CrCu2 structure, from the Alexandria database.

Calculated values
N(E_F) (states/eV per cell): 8.24
Symmetry: P4/mbm (127)
Crystal system: tetragonal

abc: 7.176 7.176 2.533
angles: 90.00 90.00 90.00
Fractional positions:
Zn 0.176 0.324 0.000
Zn 0.324 0.824 0.000
Zn 0.676 0.176 0.000
Zn 0.824 0.676 0.000
Cr 0.000 0.000 0.500
Cr 0.500 0.500 0.500
Cu 0.123 0.623 0.500
Cu 0.377 0.123 0.500
Cu 0.623 0.877 0.500
Cu 0.877 0.377 0.500

=====

No. 8
The following is a PBE calculation of a geometry-optimized ZnCrCu3 structure, from the Alexandria database.

Calculated values
Energy above the lowest structure with this stoichiometry (meV/atom): 16
N(E_F) (states/eV per cell): 6.41
Symmetry: Pm-3m (221)
Crystal system: cubic

abc: 4.359 4.359 4.359
angles: 90.00 90.00 90.00
Fractional positions:
Zn 0.000 0.000 0.000
Cr 0.500 0.500 0.500
Cu 0.000 0.000 0.500
Cu 0.000 0.500 0.000
Cu 0.500 0.000 0.000

=====

Formation enthalpy at 0 K per entry: 0.720; 0.841; 0.222; 0.170; 0.107; 0.795; 0.257; 1.235 eV per atom
DFT total energy per entry: -6.7315; -5.7552; -5.8480; -5.9002; -5.9625; -6.6570; -3.8159; -3.4026 eV/atom